A geometry-optimized ZrSc2Co2 structure, computed with GGA-PBEsol.

a = 6.370 Å, b = 6.370 Å, c = 4.209 Å
α = 90.00°, β = 90.00°, γ = 90.00°
Sites, in units of the cell vectors:
Zr 0.000 0.000 0.000
Zr 0.500 0.500 0.000
Sc 0.175 0.325 0.500
Sc 0.325 0.825 0.500
Sc 0.675 0.175 0.500
Sc 0.825 0.675 0.500
Co 0.120 0.620 0.000
Co 0.380 0.120 0.000
Co 0.620 0.880 0.000
Co 0.880 0.380 0.000

- M_tot: 0.0 μB per cell
- Symmetry: P4/mbm (127)
- D(E_F): 0.939 states/eV per atom
- Calculated volume: 170.8 Å³ per cell
- ρ: 5.81 Mg/m³
- Formation energy from the elements: -245 meV/atom